CdTePbO: optimized geometry, PBE.

The space group is Pnma (No. 62) and the conventional cell measures 7.247, 3.933 and 13.828 Å, with angles of 90.00, 90.00 and 90.00 degrees. Symmetry generates all atoms from Cd at (0.233, 0.250, 0.055), Te at (0.175, 0.750, 0.887), Pb at (0.047, 0.750, 0.268) and O at (0.194, 0.250, 0.623).

The offset from the most stable computed form is 0.122 eV per atom. For the final energy, the calculation gives -3.733 eV/atom.